This record from Alexandria describes crystalline CsLa2Cd2 at its relaxed geometry. The functional is PBE.

Polymorph energy (0 for the lowest one) (meV/atom): 0
ΔE_f (meV per atom): -31

a = 9.883 Å, b = 9.883 Å, c = 3.642 Å
α = 90.00°, β = 90.00°, γ = 90.00°
Atoms (fractional coordinates):
Cs 0.000 0.000 0.000
Cs 0.500 0.500 0.000
La 0.118 0.382 0.000
La 0.382 0.882 0.000
La 0.618 0.118 0.000
La 0.882 0.618 0.000
Cd 0.172 0.672 0.500
Cd 0.328 0.172 0.500
Cd 0.672 0.828 0.500
Cd 0.828 0.328 0.500